The following is a DFT calculation (PBE-GGA) of crystalline Pm4Y3Sn4 at its relaxed geometry.

- magnetic moment (μB per atom) = 0.000
- volume (Å³ per cell) = 655
- mass density (g/cm³) = 6.7
- calculated formation energy (eV per atom) = -0.5692

CIF file:
```
data_Pm4Y3Sn4
_space_group_name_H-M_alt 'I m m m'
_space_group_IT_number 71
_space_group_name_Hall '-I 2 2'
_cell_length_a 3.564
_cell_length_b 9.641
_cell_length_c 19.071
_cell_angle_alpha 90.00
_cell_angle_beta 90.00
_cell_angle_gamma 90.00
loop_
_atom_site_label
_atom_site_fract_x
_atom_site_fract_y
_atom_site_fract_z
_atom_site_occupancy
Pm1 0.000 0.177 0.164 1
Y1 0.000 0.000 0.409 1
Y2 0.000 0.500 0.500 1
Sn1 0.000 0.279 0.000 1
Sn2 0.000 0.500 0.224 1
```

***

The following is a DFT calculation (PBE-GGA) of crystalline Pm8YSn6 at its relaxed geometry.

- magnetic moment (μB per atom) = 0.000
- volume (Å³ per cell) = 1470
- mass density (g/cm³) = 6.6
- calculated formation energy (eV per atom) = -0.5725

CIF file:
```
data_Pm8YSn6
_space_group_name_H-M_alt 'R -3'
_space_group_IT_number 148
_space_group_name_Hall '-R 3'
_cell_length_a 9.2706
_cell_length_b 9.2706
_cell_length_c 19.7505
_cell_angle_alpha 90.00
_cell_angle_beta 90.00
_cell_angle_gamma 120.00
loop_
_atom_site_label
_atom_site_fract_x
_atom_site_fract_y
_atom_site_fract_z
_atom_site_occupancy
Pm1 0.0000 0.0000 0.1662 1
Pm2 0.0010 0.6642 0.3958 1
Y1 0.0000 0.0000 0.5000 1
Sn1 0.9995 0.3287 0.4328 1
```

***

The following is a DFT calculation (PBE-GGA) of crystalline Pm2YZn2Sn2 at its relaxed geometry.

- magnetic moment (μB per atom) = 0.000
- volume (Å³ per cell) = 562
- mass density (g/cm³) = 6.6
- calculated formation energy (eV per atom) = -0.3698

CIF file:
```
data_Pm2YZn2Sn2
_space_group_name_H-M_alt 'R -3 m'
_space_group_IT_number 166
_space_group_name_Hall '-R 3 2"'
_cell_length_a 4.5096
_cell_length_b 4.5096
_cell_length_c 31.8995
_cell_angle_alpha 90.00
_cell_angle_beta 90.00
_cell_angle_gamma 120.00
loop_
_atom_site_label
_atom_site_fract_x
_atom_site_fract_y
_atom_site_fract_z
_atom_site_occupancy
Pm1 0.0000 0.0000 0.1252 1
Y1 0.0000 0.0000 0.0000 1
Zn1 0.0000 0.0000 0.4118 1
Sn1 0.0000 0.0000 0.2753 1
```

***

The following is a DFT calculation (PBE-GGA) of crystalline Pm2Zn3Sn2 at its relaxed geometry.

- magnetic moment (μB per atom) = 0.000
- volume (Å³ per cell) = 367
- mass density (g/cm³) = 6.5
- calculated formation energy (eV per atom) = -0.1952

CIF file:
```
data_Pm2Zn3Sn2
_space_group_name_H-M_alt 'C m m m'
_space_group_IT_number 65
_space_group_name_Hall '-C 2 2'
_cell_length_a 4.257
_cell_length_b 20.152
_cell_length_c 4.283
_cell_angle_alpha 90.00
_cell_angle_beta 90.00
_cell_angle_gamma 90.00
loop_
_atom_site_label
_atom_site_fract_x
_atom_site_fract_y
_atom_site_fract_z
_atom_site_occupancy
Pm1 0.000 0.158 0.000 1
Zn1 0.000 0.000 0.000 1
Zn2 0.000 0.439 0.500 1
Sn1 0.000 0.300 0.500 1
```

***

The following is a DFT calculation (PBE-GGA) of crystalline Pm2ZnSn2 at its relaxed geometry.

- magnetic moment (μB per atom) = 0.000
- volume (Å³ per cell) = 525
- mass density (g/cm³) = 7.5
- calculated formation energy (eV per atom) = -0.6482

CIF file:
```
data_Pm2ZnSn2
_space_group_name_H-M_alt 'C 1 2/m 1'
_space_group_IT_number 12
_cell_length_a 11.614
_cell_length_b 4.524
_cell_length_c 11.109
_cell_angle_alpha 90.00
_cell_angle_beta 115.86
_cell_angle_gamma 90.00
loop_
_space_group_symop_operation_xyz
'x,y,z'
'-x,-y,-z'
'-x,y,-z'
'x,-y,z'
'x+1/2,y+1/2,z'
'-x+1/2,-y+1/2,-z'
'-x+1/2,y+1/2,-z'
'x+1/2,-y+1/2,z'
loop_
_atom_site_label
_atom_site_fract_x
_atom_site_fract_y
_atom_site_fract_z
_atom_site_occupancy
Pm1 0.002 0.000 0.171 1
Pm2 0.183 0.000 0.609 1
Zn1 0.201 0.500 0.828 1
Sn1 0.040 0.500 0.389 1
Sn2 0.157 0.500 0.066 1
```

***

The following is a DFT calculation (PBE-GGA) of crystalline Pm3Zn5Sn12 at its relaxed geometry.

- magnetic moment (μB per atom) = 0.000
- volume (Å³ per cell) = 4820
- mass density (g/cm³) = 6.0
- calculated formation energy (eV per atom) = 0.0968

CIF file:
```
data_Pm3Zn5Sn12
_space_group_name_H-M_alt 'I a -3 d'
_space_group_IT_number 230
_space_group_name_Hall '-I 4bd 2c 3'
_cell_length_a 16.892
_cell_length_b 16.892
_cell_length_c 16.892
_cell_angle_alpha 90.00
_cell_angle_beta 90.00
_cell_angle_gamma 90.00
loop_
_atom_site_label
_atom_site_fract_x
_atom_site_fract_y
_atom_site_fract_z
_atom_site_occupancy
Pm1 0.000 0.250 0.125 1
Zn1 0.000 0.000 0.000 1
Zn2 0.000 0.250 0.375 1
Sn1 0.031 0.070 0.644 1
```

***

The following is a DFT calculation (PBE-GGA) of crystalline Pm4ZnSn2 at its relaxed geometry.

- magnetic moment (μB per atom) = 0.068
- volume (Å³ per cell) = 417
- mass density (g/cm³) = 7.0
- calculated formation energy (eV per atom) = -0.5021

CIF file:
```
data_Pm4ZnSn2
_space_group_name_H-M_alt 'C 1 2/m 1'
_space_group_IT_number 12
_cell_length_a 11.577
_cell_length_b 4.744
_cell_length_c 9.056
_cell_angle_alpha 90.00
_cell_angle_beta 122.99
_cell_angle_gamma 90.00
loop_
_space_group_symop_operation_xyz
'x,y,z'
'-x,-y,-z'
'-x,y,-z'
'x,-y,z'
'x+1/2,y+1/2,z'
'-x+1/2,-y+1/2,-z'
'-x+1/2,y+1/2,-z'
'x+1/2,-y+1/2,z'
loop_
_atom_site_label
_atom_site_fract_x
_atom_site_fract_y
_atom_site_fract_z
_atom_site_occupancy
Pm1 0.081 0.000 0.374 1
Pm2 0.178 0.500 0.063 1
Zn1 0.000 0.000 0.000 1
Sn1 0.149 0.500 0.663 1
```

***

The following is a DFT calculation (PBE-GGA) of crystalline Pm12Zn2Sn5 at its relaxed geometry.

- magnetic moment (μB per atom) = 0.000
- volume (Å³ per cell) = 1274
- mass density (g/cm³) = 6.4
- calculated formation energy (eV per atom) = -0.3239

CIF file:
```
data_Pm12Zn2Sn5
_space_group_name_H-M_alt 'C 1 2/m 1'
_space_group_IT_number 12
_cell_length_a 17.333
_cell_length_b 7.615
_cell_length_c 9.780
_cell_angle_alpha 90.00
_cell_angle_beta 99.24
_cell_angle_gamma 90.00
loop_
_space_group_symop_operation_xyz
'x,y,z'
'-x,-y,-z'
'-x,y,-z'
'x,-y,z'
'x+1/2,y+1/2,z'
'-x+1/2,-y+1/2,-z'
'-x+1/2,y+1/2,-z'
'x+1/2,-y+1/2,z'
loop_
_atom_site_label
_atom_site_fract_x
_atom_site_fract_y
_atom_site_fract_z
_atom_site_occupancy
Pm1 0.014 0.000 0.295 1
Pm2 0.019 0.500 0.830 1
Pm3 0.147 0.252 0.575 1
Pm4 0.167 0.255 0.105 1
Zn1 0.000 0.165 0.000 1
Sn1 0.000 0.500 0.500 1
Sn2 0.170 0.000 0.841 1
Sn3 0.205 0.000 0.359 1
```